DFT (PBE with a Hubbard U) results for a relaxed SrPrZrMnO6 crystal.

Structure (POSCAR):
```
SrPrZrMnO6
1.0
0.0000 4.0643 4.0643
4.0643 0.0000 4.0643
4.0643 4.0643 0.0000
Pr Mn Sr O Zr
1 1 1 6 1
Cartesian
6.0965 6.0965 6.0965
0.0000 0.0000 0.0000
2.0322 2.0322 2.0322
4.0643 1.9953 4.0643
1.9953 4.0643 4.0643
6.1333 4.0643 4.0643
4.0643 6.1333 4.0643
4.0643 4.0643 1.9953
4.0643 4.0643 6.1333
4.0643 4.0643 4.0643
```

The space group is F-43m. For the uncorrected energy, the calculation gives -79.244 eV for the cell shown. The size of the total moment comes out at 4.0 μB per formula unit.